# PBE AgHg2P, relaxed
data_AgHg2P
_space_group_name_H-M_alt 'P m m m'
_space_group_IT_number 47
_cell_length_a 2.8885
_cell_length_b 3.9479
_cell_length_c 7.4162
_cell_angle_alpha 90.00
_cell_angle_beta 90.00
_cell_angle_gamma 90.00
loop_
_space_group_symop_operation_xyz
'x,y,z'
'-x,-y,-z'
'-x,-y,z'
'x,y,-z'
'x,-y,-z'
'-x,y,z'
'-x,y,-z'
'x,-y,z'
loop_
_atom_site_label
_atom_site_type_symbol
_atom_site_fract_x
_atom_site_fract_y
_atom_site_fract_z
Ag1 Ag 0.0000 0.0000 0.0000
Hg1 Hg 0.5000 0.5000 0.2438
P1 P 0.5000 0.0000 0.5000
# Energy of formation: 0.315 eV/atom